DFT (PBE with a Hubbard U) results for an optimized crystal structure of MnZnF5.

For the total energy, the calculation gives -138.369 eV per cell. The value obtained for the polymorph energy (0 for the lowest one) is 0.004 eV per atom. The crystal system is monoclinic.

The structure belongs to space group P2_1/c (No. 14); the cell edges are 5.1257, 9.6315 and 7.9076 Å and the angles 90.00°, 110.45° and 90.00°. The inequivalent atoms are Mn at (0.1130, 0.2408, 0.3738), Zn at (0.4753, 0.0139, 0.7734), F at (0.1293, 0.6019, 0.2456), F at (0.1901, 0.1641, 0.6427), F at (0.1902, 0.6392, 0.6512), F at (0.3627, 0.1124, 0.9900) and F at (0.4150, 0.1186, 0.3849).